## i
This record from the Alexandria database describes an optimized crystal structure of ZrIrOs2. The functional is GGA-PBEsol.

Summary:
- space group = Cm (8)

a b c (Å): 2.813 4.834 4.831
angles (deg): 99.64 90.00 106.92
Fractional positions:
Ir 0.257 0.513 0.759
Os 0.001 0.002 0.020
Os 0.742 0.483 0.213
Zr 0.501 0.001 0.509

=====

## ii
This record from the Alexandria database describes an optimized crystal structure of ZrIrOs2. The functional is GGA-PBEsol.

Summary:
- space group = I4/mmm (139)

a b c (Å): 3.916 3.916 4.873
angles (deg): 113.69 113.69 90.00
Fractional positions:
Ir 0.500 0.500 0.000
Os 0.750 0.250 0.500
Os 0.250 0.750 0.500
Zr 0.000 0.000 0.000

=====

## iii
This record from the Alexandria database describes an optimized crystal structure of ZrIrOs2. The functional is GGA-PBEsol.

Summary:
- space group = C2/m (12)

a b c (Å): 2.779 4.794 5.387
angles (deg): 115.09 102.82 94.64
Fractional positions:
Ir 0.500 0.000 0.000
Os 0.500 0.500 0.500
Os 0.000 0.000 0.500
Zr 0.000 0.500 0.000

=====

Most stable structure: ii

=====

## i
This record from the Alexandria database describes an optimized crystal structure of ZrIrOs2. The functional is GGA-PBEsol.

Summary:
- space group = P2/m (10)

a b c (Å): 2.815 4.773 4.784
angles (deg): 108.34 90.00 90.00
Fractional positions:
Ir 0.000 0.500 0.500
Os 0.000 0.000 0.000
Os 0.500 0.000 0.500
Zr 0.500 0.500 0.000

=====

## ii
This record from the Alexandria database describes an optimized crystal structure of ZrIrOs2. The functional is GGA-PBEsol.

Summary:
- space group = P4/mmm (123)

a b c (Å): 2.774 2.774 8.052
angles (deg): 90.00 90.00 90.00
Fractional positions:
Ir 0.500 0.500 0.500
Os 0.000 0.000 0.728
Os 0.000 0.000 0.272
Zr 0.500 0.500 0.000

=====

Most stable structure: i

=====

## i
This record from the Alexandria database describes an optimized crystal structure of P3Ir. The functional is GGA-PBEsol.

Summary:
- space group = Pmm2 (25)

a b c (Å): 3.532 3.550 4.902
angles (deg): 90.00 90.00 90.00
Fractional positions:
P 0.500 0.000 0.575
P 0.500 0.500 0.916
P 0.000 0.500 0.258
Ir 0.000 0.000 0.917

=====

## ii
This record from the Alexandria database describes an optimized crystal structure of P3Ir. The functional is GGA-PBEsol.

Summary:
- space group = Im-3 (204)

a b c (Å): 6.938 6.938 6.938
angles (deg): 109.47 109.47 109.47
Fractional positions:
Ir 0.000 0.500 0.000
Ir 0.500 0.000 0.000
Ir 0.000 0.000 0.500
Ir 0.500 0.500 0.500
P 0.140 0.495 0.354
P 0.140 0.786 0.646
P 0.860 0.214 0.354
P 0.860 0.505 0.646
P 0.214 0.354 0.860
P 0.505 0.646 0.860
P 0.495 0.354 0.140
P 0.786 0.646 0.140
P 0.646 0.140 0.786
P 0.354 0.140 0.495
P 0.646 0.860 0.505
P 0.354 0.860 0.214

=====

Most stable structure: ii

=====

## i
This record from the Alexandria database describes an optimized crystal structure of P3Ir. The functional is GGA-PBEsol.

Summary:
- space group = Pm-3m (221)

a b c (Å): 3.813 3.813 3.813
angles (deg): 90.00 90.00 90.00
Fractional positions:
P 0.000 0.500 0.500
P 0.500 0.000 0.500
P 0.500 0.500 0.000
Ir 0.000 0.000 0.000

=====

## ii
This record from the Alexandria database describes an optimized crystal structure of P3Ir. The functional is GGA-PBEsol.

Summary:
- space group = Pm-3m (221)

a b c (Å): 4.613 4.613 4.613
angles (deg): 90.00 90.00 90.00
Fractional positions:
P 0.500 0.000 0.000
P 0.000 0.500 0.000
P 0.000 0.000 0.500
Ir 0.000 0.000 0.000

=====

Most stable structure: i

=====

## i
This record from the Alexandria database describes an optimized crystal structure of P2IrPdS. The functional is GGA-PBEsol.

Summary:
- space group = P4/mmm (123)

a b c (Å): 4.413 4.413 4.957
angles (deg): 90.00 90.00 90.00
Fractional positions:
P 0.000 0.500 0.000
P 0.500 0.000 0.000
S 0.000 0.000 0.500
Ir 0.000 0.000 0.000
Pd 0.500 0.500 0.500

=====

## ii
This record from the Alexandria database describes an optimized crystal structure of P2IrPdS. The functional is GGA-PBEsol.

Summary:
- space group = P4/mmm (123)

a b c (Å): 4.441 4.441 4.581
angles (deg): 90.00 90.00 90.00
Fractional positions:
P 0.000 0.500 0.000
P 0.500 0.000 0.000
S 0.000 0.000 0.500
Ir 0.500 0.500 0.500
Pd 0.000 0.000 0.000

=====

Most stable structure: i

=====

## i
This record from the Alexandria database describes an optimized crystal structure of SiP2Ir. The functional is GGA-PBEsol.

Summary:
- space group = P4/mmm (123)

a b c (Å): 2.877 2.877 6.560
angles (deg): 90.00 90.00 90.00
Fractional positions:
P 0.000 0.000 0.743
P 0.000 0.000 0.257
Si 0.500 0.500 0.000
Ir 0.500 0.500 0.500

=====

## ii
This record from the Alexandria database describes an optimized crystal structure of SiP2Ir. The functional is GGA-PBEsol.

Summary:
- space group = Amm2 (38)

a b c (Å): 2.774 4.617 5.195
angles (deg): 116.39 90.00 90.00
Fractional positions:
P 0.000 0.946 0.893
P 0.500 0.294 0.589
Si 0.000 0.518 0.035
Ir 0.500 0.740 0.480

=====

## iii
This record from the Alexandria database describes an optimized crystal structure of SiP2Ir. The functional is GGA-PBEsol.

Summary:
- space group = Imm2 (44)

a b c (Å): 2.782 4.007 5.798
angles (deg): 110.22 103.88 90.00
Fractional positions:
P 0.948 0.948 0.897
P 0.781 0.281 0.561
Si 0.537 0.537 0.074
Ir 0.234 0.734 0.468

=====

Most stable structure: ii

=====

## i
This record from the Alexandria database describes an optimized crystal structure of TaP2Ir. The functional is GGA-PBEsol.

Summary:
- space group = R-3m (166)

a b c (Å): 2.914 2.914 7.928
angles (deg): 79.41 79.41 60.00
Fractional positions:
Ir 0.000 0.000 0.000
P 0.254 0.254 0.239
P 0.746 0.746 0.761
Ta 0.500 0.500 0.500

=====

## ii
This record from the Alexandria database describes an optimized crystal structure of TaP2Ir. The functional is GGA-PBEsol.

Summary:
- space group = P4/mmm (123)

a b c (Å): 3.046 3.046 5.954
angles (deg): 90.00 90.00 90.00
Fractional positions:
Ir 0.500 0.500 0.500
P 0.000 0.000 0.758
P 0.000 0.000 0.242
Ta 0.500 0.500 0.000

=====

Most stable structure: ii

=====

## i
This record from the Alexandria database describes an optimized crystal structure of TcP2Ir. The functional is GGA-PBEsol.

Summary:
- space group = R-3m (166)

a b c (Å): 2.881 2.881 7.508
angles (deg): 78.94 78.94 60.00
Fractional positions:
Ir 0.000 0.000 0.000
P 0.248 0.248 0.257
P 0.752 0.752 0.743
Tc 0.500 0.500 0.500

=====

## ii
This record from the Alexandria database describes an optimized crystal structure of TcP2Ir. The functional is GGA-PBEsol.

Summary:
- space group = Cmmm (65)

a b c (Å): 2.906 2.906 7.627
angles (deg): 90.00 90.00 120.56
Fractional positions:
Ir 0.500 0.500 0.000
P 0.000 0.000 0.255
P 0.000 0.000 0.745
Tc 0.500 0.500 0.500

=====

Most stable structure: i

=====

## i
This record from the Alexandria database describes an optimized crystal structure of TlP2Ir. The functional is GGA-PBEsol.

Summary:
- space group = Pmm2 (25)

a b c (Å): 2.906 3.282 7.468
angles (deg): 90.00 90.00 90.00
Fractional positions:
Ir 0.500 0.500 0.835
P 0.000 0.000 0.981
P 0.500 0.500 0.162
Tl 0.000 0.000 0.522

=====

## ii
This record from the Alexandria database describes an optimized crystal structure of TlP2Ir. The functional is GGA-PBEsol.

Summary:
- space group = Fm-3m (225)

a b c (Å): 4.524 4.524 4.524
angles (deg): 60.00 60.00 60.00
Fractional positions:
Ir 0.000 0.000 0.000
P 0.250 0.250 0.250
P 0.750 0.750 0.750
Tl 0.500 0.500 0.500

=====

Most stable structure: i

=====

## i
This record from the Alexandria database describes an optimized crystal structure of Tl2PIr. The functional is GGA-PBEsol.

Summary:
- space group = P4mm (99)

a b c (Å): 3.143 3.143 8.534
angles (deg): 90.00 90.00 90.00
Fractional positions:
Ir 0.000 0.000 0.573
P 0.500 0.500 0.677
Tl 0.000 0.000 0.951
Tl 0.500 0.500 0.299

=====

## ii
This record from the Alexandria database describes an optimized crystal structure of Tl2PIr. The functional is GGA-PBEsol.

Summary:
- space group = Pmmm (47)

a b c (Å): 3.179 3.904 6.115
angles (deg): 90.00 90.00 90.00
Fractional positions:
Ir 0.500 0.500 0.000
P 0.500 0.500 0.500
Tl 0.000 0.000 0.757
Tl 0.000 0.000 0.243

=====

## iii
This record from the Alexandria database describes an optimized crystal structure of Tl2PIr. The functional is GGA-PBEsol.

Summary:
- space group = Amm2 (38)

a b c (Å): 3.521 5.191 5.561
angles (deg): 117.82 90.00 90.00
Fractional positions:
Ir 0.000 0.545 0.091
P 0.500 0.684 0.369
Tl 0.000 0.972 0.944
Tl 0.500 0.305 0.610

=====

Most stable structure: i

=====

## i
This record from the Alexandria database describes an optimized crystal structure of YP2Ir. The functional is GGA-PBEsol.

Summary:
- space group = R-3m (166)

a b c (Å): 3.837 3.837 5.730
angles (deg): 70.44 70.44 60.00
Fractional positions:
Ir 0.000 0.000 0.000
P 0.729 0.729 0.812
P 0.271 0.271 0.188
Y 0.500 0.500 0.500

=====

## ii
This record from the Alexandria database describes an optimized crystal structure of YP2Ir. The functional is GGA-PBEsol.

Summary:
- space group = P2/m (10)

a b c (Å): 3.899 4.201 4.445
angles (deg): 95.53 90.00 90.00
Fractional positions:
Ir 0.500 0.500 0.000
P 0.000 0.378 0.261
P 0.000 0.622 0.739
Y 0.500 0.000 0.500

=====

Most stable structure: i

=====

## i
This record from the Alexandria database describes an optimized crystal structure of ZnPIr2. The functional is GGA-PBEsol.

Summary:
- space group = Pmmm (47)

a b c (Å): 2.892 3.562 5.575
angles (deg): 90.00 90.00 90.00
Fractional positions:
Ir 0.500 0.000 0.245
Ir 0.500 0.000 0.755
P 0.500 0.500 0.500
Zn 0.000 0.500 0.000

=====

## ii
This record from the Alexandria database describes an optimized crystal structure of ZnPIr2. The functional is GGA-PBEsol.

Summary:
- space group = Cm (8)

a b c (Å): 2.890 4.349 4.666
angles (deg): 104.27 108.04 90.00
Fractional positions:
Ir 0.995 0.912 0.990
Ir 0.762 0.318 0.523
P 0.492 0.461 0.984
Zn 0.252 0.809 0.504

=====

Most stable structure: ii